1.
Below is Fe2TcP after structural relaxation, with properties calculated at the PBE level.

Lattice parameters (Å, degrees): 2.664 2.664 6.396 90.00 90.00 90.00
Positions (direct):
Fe 0.000 0.000 0.205
Fe 0.000 0.000 0.795
Tc 0.500 0.500 0.500
P 0.500 0.500 0.000

Results
ΔE_f in meV per atom: -194
Symmetry: No. 123
Calculated total energy in eV for the cell shown: -33.48
V in Å³ per cell: 45.40

=====

2.
Below is PrBe2Rh2 after structural relaxation, with properties calculated at the PBE level.

Lattice parameters (Å, degrees): 5.443 5.443 5.443 134.93 134.93 65.65
Positions (direct):
Pr 0.000 0.000 0.000
Be 0.351 0.351 0.000
Be 0.649 0.649 0.000
Rh 0.250 0.750 0.500
Rh 0.750 0.250 0.500

Results
ΔE_f in meV per atom: -595
Symmetry: No. 139
Calculated total energy in eV for the cell shown: -29.91
V in Å³ per cell: 79.64

=====

3.
Below is Sr2In6GaHg after structural relaxation, with properties calculated at the PBE level.

Lattice parameters (Å, degrees): 13.282 13.282 13.282 33.10 33.10 33.10
Positions (direct):
Sr 0.103 0.103 0.103
Sr 0.279 0.279 0.279
Sr 0.721 0.721 0.721
Sr 0.897 0.897 0.897
In 0.075 0.669 0.669
In 0.223 0.223 0.643
In 0.223 0.643 0.223
In 0.331 0.331 0.925
In 0.331 0.925 0.331
In 0.357 0.777 0.777
In 0.643 0.223 0.223
In 0.669 0.075 0.669
In 0.669 0.669 0.075
In 0.777 0.357 0.777
In 0.777 0.777 0.357
In 0.925 0.331 0.331
Ga 0.000 0.000 0.000
Ga 0.500 0.500 0.500
Hg 0.426 0.426 0.426
Hg 0.574 0.574 0.574

Results
ΔE_f in meV per atom: -122
Symmetry: No. 166
Calculated total energy in eV for the cell shown: -48.68
V in Å³ per cell: 621.88

=====

4.
Below is CrTeAu2 after structural relaxation, with properties calculated at the PBE level.

Lattice parameters (Å, degrees): 5.713 5.713 4.034 91.98 91.98 39.71
Positions (direct):
Cr 0.000 0.000 0.000
Te 0.500 0.500 0.500
Au 0.249 0.249 0.244
Au 0.751 0.751 0.756

Results
Symmetry: No. 12
Calculated total energy in eV for the cell shown: -18.73
Uncorrected formation energy in kJ/mol of formula units: 57
V in Å³ per cell: 84.04

=====

5.
Below is NaGe2PbO6 after structural relaxation, with properties calculated at the PBE level.

Lattice parameters (Å, degrees): 7.270 7.270 5.761 102.46 102.46 84.31
Positions (direct):
Na 0.193 0.807 0.750
Na 0.807 0.193 0.250
Ge 0.124 0.294 0.745
Ge 0.294 0.124 0.245
Ge 0.706 0.876 0.755
Ge 0.876 0.706 0.255
Pb 0.385 0.615 0.250
Pb 0.615 0.385 0.750
O 0.103 0.616 0.358
O 0.117 0.173 0.986
O 0.173 0.117 0.486
O 0.300 0.463 0.843
O 0.384 0.897 0.142
O 0.463 0.300 0.343
O 0.537 0.700 0.657
O 0.616 0.103 0.858
O 0.700 0.537 0.157
O 0.827 0.883 0.514
O 0.883 0.827 0.014
O 0.897 0.384 0.642

Results
Symmetry: No. 15
Calculated total energy in eV for the cell shown: -118.08
Uncorrected formation energy in kJ/mol of formula units: -1450
V in Å³ per cell: 289.85

=====

6.
Below is MnBe3 after structural relaxation, with properties calculated at the PBE level.

Lattice parameters (Å, degrees): 2.273 3.620 4.332 90.00 101.31 90.00
Positions (direct):
Mn 0.000 0.000 0.000
Be 0.321 0.500 0.753
Be 0.500 0.000 0.500
Be 0.679 0.500 0.247

Results
ΔE_f in meV per atom: -35
Symmetry: No. 10
Calculated total energy in eV for the cell shown: -20.49
V in Å³ per cell: 34.96

=====

7.
Below is MnAs3H after structural relaxation, with properties calculated at the PBE level.

Lattice parameters (Å, degrees): 4.540 4.540 4.540 90.00 90.00 90.00
Positions (direct):
Mn 0.000 0.000 0.000
As 0.000 0.000 0.500
As 0.000 0.500 0.000
As 0.500 0.000 0.000
H 0.500 0.500 0.500

Results
Symmetry: No. 221
Calculated total energy in eV for the cell shown: -22.74
V in Å³ per cell: 93.57

=====

8.
Below is CdTcPt after structural relaxation, with properties calculated at the PBE level.

Lattice parameters (Å, degrees): 2.847 2.847 7.066 90.00 90.00 120.00
Positions (direct):
Cd 0.000 0.000 0.000
Tc 0.333 0.667 0.651
Pt 0.667 0.333 0.350

Results
ΔE_f in meV per atom: 93
Symmetry: No. 156
Calculated total energy in eV for the cell shown: -17.04
V in Å³ per cell: 49.59

=====

9.
Below is Tm12Co6Tc after structural relaxation, with properties calculated at the PBE level.

Lattice parameters (Å, degrees): 8.113 8.113 8.113 109.47 109.47 109.47
Positions (direct):
Tm 0.105 0.810 0.294
Tm 0.190 0.294 0.484
Tm 0.190 0.706 0.895
Tm 0.294 0.105 0.810
Tm 0.294 0.484 0.190
Tm 0.484 0.190 0.294
Tm 0.516 0.810 0.706
Tm 0.706 0.516 0.810
Tm 0.706 0.895 0.190
Tm 0.810 0.294 0.105
Tm 0.810 0.706 0.516
Tm 0.895 0.190 0.706
Co 0.116 0.616 0.500
Co 0.384 0.500 0.884
Co 0.500 0.116 0.616
Co 0.500 0.884 0.384
Co 0.616 0.500 0.116
Co 0.884 0.384 0.500
Tc 0.000 0.000 0.000

Results
ΔE_f in meV per atom: -162
Symmetry: No. 204
Calculated total energy in eV for the cell shown: -109.74
V in Å³ per cell: 411.12

=====

10.
Below is GaPHIrPtS after structural relaxation, with properties calculated at the PBE level.

Lattice parameters (Å, degrees): 3.692 4.812 5.411 104.08 96.68 92.25
Positions (direct):
Ga 0.000 0.000 0.000
P 0.464 0.782 0.404
H 0.969 0.468 0.123
Ir 0.999 0.080 0.517
Pt 0.322 0.515 0.986
S 0.521 0.415 0.583

Results
Symmetry: No. 1
Calculated total energy in eV for the cell shown: -32.16
V in Å³ per cell: 92.38

=====

11.
Below is KYC after structural relaxation, with properties calculated at the PBE level.

Lattice parameters (Å, degrees): 3.408 5.160 10.485 90.00 90.35 90.00
Positions (direct):
K 0.000 0.000 0.000
K 0.485 0.500 0.317
Y 0.992 0.000 0.590
Y 0.995 0.500 0.779
C 0.495 0.134 0.756
C 0.495 0.866 0.756

Results
ΔE_f in meV per atom: 235
Symmetry: No. 6
Calculated total energy in eV for the cell shown: -32.16
V in Å³ per cell: 184.41

=====

12.
Below is GdDyCuAu after structural relaxation, with properties calculated at the PBE level.

Lattice parameters (Å, degrees): 5.043 5.043 5.043 60.00 60.00 60.00
Positions (direct):
Gd 0.000 0.000 0.000
Dy 0.500 0.500 0.500
Cu 0.750 0.750 0.750
Au 0.250 0.250 0.250

Results
ΔE_f in meV per atom: -529
Symmetry: No. 216
Calculated total energy in eV for the cell shown: -28.17
V in Å³ per cell: 90.67